(1)
Compound: Ac2Pr6Y5
Source: the Alexandria database
Functional: PBE
Structure: relaxed

Values from the calculation:
Theoretical density: 6085 kg/m3
ΔH_f (0 K): 0.106 eV per atom

Geometry as CIF:
```
data_Ac2Pr6Y5
_symmetry_space_group_name_H-M 'P b a m'
_symmetry_Int_Tables_number 55
_cell_length_a 12.1681
_cell_length_b 20.8952
_cell_length_c 3.7435
_cell_angle_alpha 90.00
_cell_angle_beta 90.00
_cell_angle_gamma 90.00
loop_
_symmetry_equiv_pos_as_xyz
'x,y,z'
'-x,-y,-z'
'-x,-y,z'
'x,y,-z'
'x+1/2,-y+1/2,-z'
'-x+1/2,y+1/2,z'
'-x+1/2,y+1/2,-z'
'x+1/2,-y+1/2,z'
loop_
_atom_site_label
_atom_site_fract_x
_atom_site_fract_y
_atom_site_fract_z
Ac1 0.1641 0.2198 0.0000
Pr1 0.0585 0.9251 0.0000
Pr2 0.0747 0.6372 0.0000
Pr3 0.1803 0.3793 0.5000
Y1 0.0000 0.5000 0.5000
Y2 0.0965 0.7808 0.5000
Y3 0.2018 0.0556 0.5000
```

(2)
Compound: Ac2Pr5Y
Source: the Alexandria database
Functional: PBE
Structure: relaxed

Values from the calculation:
Theoretical density: 6845 kg/m3
ΔH_f (0 K): 0.025 eV per atom

Geometry as CIF:
```
data_Ac2Pr5Y
_symmetry_space_group_name_H-M 'I 4/m m m'
_symmetry_Int_Tables_number 139
_symmetry_space_group_name_Hall '-I 4 2'
_cell_length_a 5.3491
_cell_length_b 5.3491
_cell_length_c 21.1516
_cell_angle_alpha 90.00
_cell_angle_beta 90.00
_cell_angle_gamma 90.00
loop_
_atom_site_label
_atom_site_fract_x
_atom_site_fract_y
_atom_site_fract_z
Ac1 0.0000 0.0000 0.2501
Pr1 0.0000 0.0000 0.0000
Pr2 0.0000 0.5000 0.1196
Y1 0.0000 0.0000 0.5000
```

(3)
Compound: AcPr8Y6
Source: the Alexandria database
Functional: PBE
Structure: relaxed

Values from the calculation:
Theoretical density: 5863 kg/m3
ΔH_f (0 K): 0.150 eV per atom

Geometry as CIF:
```
data_AcPr8Y6
_symmetry_space_group_name_H-M 'R -3'
_symmetry_Int_Tables_number 148
_symmetry_space_group_name_Hall '-R 3'
_cell_length_a 9.4681
_cell_length_b 9.4681
_cell_length_c 20.6600
_cell_angle_alpha 90.00
_cell_angle_beta 90.00
_cell_angle_gamma 120.00
loop_
_atom_site_label
_atom_site_fract_x
_atom_site_fract_y
_atom_site_fract_z
Ac1 0.0000 0.0000 0.0000
Pr1 0.0000 0.0000 0.4269
Pr2 0.0669 0.8216 0.1597
Y1 0.0408 0.8001 0.6936
```

(4)
Compound: Ac8Pr6Y
Source: the Alexandria database
Functional: PBE
Structure: relaxed

Values from the calculation:
Theoretical density: 7030 kg/m3
ΔH_f (0 K): 0.222 eV per atom

Geometry as CIF:
```
data_Ac8Pr6Y
_symmetry_space_group_name_H-M 'R -3'
_symmetry_Int_Tables_number 148
_symmetry_space_group_name_Hall '-R 3'
_cell_length_a 10.2185
_cell_length_b 10.2185
_cell_length_c 21.5539
_cell_angle_alpha 90.00
_cell_angle_beta 90.00
_cell_angle_gamma 120.00
loop_
_atom_site_label
_atom_site_fract_x
_atom_site_fract_y
_atom_site_fract_z
Ac1 0.0000 0.0000 0.2342
Ac2 0.0116 0.7132 0.6234
Pr1 0.0003 0.3072 0.8715
Y1 0.0000 0.0000 0.5000
```

(5)
Compound: Ac2Pr2Y
Source: the Alexandria database
Functional: PBE
Structure: relaxed

Values from the calculation:
Theoretical density: 7048 kg/m3
ΔH_f (0 K): 0.127 eV per atom

Geometry as CIF:
```
data_Ac2Pr2Y
_symmetry_space_group_name_H-M 'C 1 2/c 1'
_symmetry_Int_Tables_number 15
_cell_length_a 10.4599
_cell_length_b 8.1132
_cell_length_c 9.8674
_cell_angle_alpha 90.00
_cell_angle_beta 111.84
_cell_angle_gamma 90.00
loop_
_symmetry_equiv_pos_as_xyz
'x,y,z'
'-x,-y,-z'
'-x,y,-z+1/2'
'x,-y,z+1/2'
'x+1/2,y+1/2,z'
'-x+1/2,-y+1/2,-z'
'-x+1/2,y+1/2,-z+1/2'
'x+1/2,-y+1/2,z+1/2'
loop_
_atom_site_label
_atom_site_fract_x
_atom_site_fract_y
_atom_site_fract_z
Ac1 0.1230 0.1609 0.1473
Pr1 0.1595 0.4319 0.4861
Y1 0.0000 0.2406 0.7500
```

(6)
Compound: AcPr3Y4
Source: the Alexandria database
Functional: PBE
Structure: relaxed

Values from the calculation:
Theoretical density: 5891 kg/m3
ΔH_f (0 K): 0.145 eV per atom

Geometry as CIF:
```
data_AcPr3Y4
_symmetry_space_group_name_H-M 'I m m m'
_symmetry_Int_Tables_number 71
_symmetry_space_group_name_Hall '-I 2 2'
_cell_length_a 3.5264
_cell_length_b 11.9226
_cell_length_c 13.4806
_cell_angle_alpha 90.00
_cell_angle_beta 90.00
_cell_angle_gamma 90.00
loop_
_atom_site_label
_atom_site_fract_x
_atom_site_fract_y
_atom_site_fract_z
Ac1 0.0000 0.0000 0.0000
Pr1 0.0000 0.0000 0.5000
Pr2 0.0000 0.5000 0.2571
Y1 0.0000 0.2539 0.1357
```

(7)
Compound: AcPr10Y4
Source: the Alexandria database
Functional: PBE
Structure: relaxed

Values from the calculation:
Theoretical density: 5643 kg/m3
ΔH_f (0 K): 0.468 eV per atom

Geometry as CIF:
```
data_AcPr10Y4
_symmetry_space_group_name_H-M 'I 4/m'
_symmetry_Int_Tables_number 87
_symmetry_space_group_name_Hall '-I 4'
_cell_length_a 12.9132
_cell_length_b 12.9132
_cell_length_c 7.0300
_cell_angle_alpha 90.00
_cell_angle_beta 90.00
_cell_angle_gamma 90.00
loop_
_atom_site_label
_atom_site_fract_x
_atom_site_fract_y
_atom_site_fract_z
Ac1 0.0000 0.0000 0.0000
Pr1 0.0000 0.5000 0.2500
Pr2 0.1287 0.7108 0.2462
Y1 0.0675 0.1788 0.5000
```

(8)
Compound: AcPrY6
Source: the Alexandria database
Functional: PBE
Structure: relaxed

Values from the calculation:
Theoretical density: 5338 kg/m3
ΔH_f (0 K): 0.141 eV per atom

Geometry as CIF:
```
data_AcPrY6
_symmetry_space_group_name_H-M 'P -1'
_symmetry_Int_Tables_number 2
_cell_length_a 6.5885
_cell_length_b 6.5906
_cell_length_c 6.5942
_cell_angle_alpha 96.48
_cell_angle_beta 96.54
_cell_angle_gamma 96.44
loop_
_symmetry_equiv_pos_as_xyz
'x,y,z'
'-x,-y,-z'
loop_
_atom_site_label
_atom_site_fract_x
_atom_site_fract_y
_atom_site_fract_z
Ac1 0.0000 0.0000 0.0000
Pr1 0.5000 0.5000 0.5000
Y1 0.0419 0.4577 0.7472
Y2 0.2527 0.9579 0.5425
Y3 0.4579 0.7471 0.0420
```